(1)
# Ca5PmMg6, optimized geometry, DFT PBE-GGA
# Spin magnetization = 0.000 μB/atom
# Volume = 369 Å³/f.u.
# Energy of formation from the pure elements = -85 meV per atom
data_Ca5PmMg6
_chemical_formula_sum 'Ca5 Pm1 Mg6'
_cell_length_a 9.680
_cell_length_b 9.680
_cell_length_c 5.622
_cell_angle_alpha 106.44
_cell_angle_beta 106.44
_cell_angle_gamma 47.42
_space_group_name_H-M_alt 'P 1'
_space_group_IT_number 1
_space_group_name_Hall 'P 1'
loop_
_atom_site_label
_atom_site_type_symbol
_atom_site_fract_x
_atom_site_fract_y
_atom_site_fract_z
Ca1 Ca 0.000 0.000 0.000
Ca2 Ca 0.165 0.165 0.665
Ca3 Ca 0.333 0.333 0.333
Ca4 Ca 0.667 0.667 0.667
Ca5 Ca 0.835 0.835 0.335
Pm1 Pm 0.500 0.500 0.000
Mg1 Mg 0.090 0.580 0.835
Mg2 Mg 0.259 0.741 0.500
Mg3 Mg 0.420 0.910 0.165
Mg4 Mg 0.580 0.090 0.835
Mg5 Mg 0.741 0.259 0.500
Mg6 Mg 0.910 0.420 0.165

(2)
# Li5Pd3Au3, optimized geometry, DFT PBE-GGA
# Spin magnetization = 0.000 μB/atom
# Volume = 190 Å³/f.u.
# Energy of formation from the pure elements = -274 meV per atom
data_Li5Pd3Au3
_chemical_formula_sum 'Li5 Pd3 Au3'
_cell_length_a 8.901
_cell_length_b 8.901
_cell_length_c 2.776
_cell_angle_alpha 90.00
_cell_angle_beta 90.00
_cell_angle_gamma 120.00
_space_group_name_H-M_alt 'P 1'
_space_group_IT_number 1
_space_group_name_Hall 'P 1'
loop_
_atom_site_label
_atom_site_type_symbol
_atom_site_fract_x
_atom_site_fract_y
_atom_site_fract_z
Li1 Li 0.000 0.317 0.000
Li2 Li 0.317 0.000 0.000
Li3 Li 0.333 0.667 0.000
Li4 Li 0.667 0.333 0.000
Li5 Li 0.683 0.683 0.000
Pd1 Pd 0.000 0.828 0.000
Pd2 Pd 0.172 0.172 0.000
Pd3 Pd 0.828 0.000 0.000
Au1 Au 0.000 0.564 0.500
Au2 Au 0.436 0.436 0.500
Au3 Au 0.564 0.000 0.500